[1]
# TiBeTl2Sb PBE relaxed
# Energy relative to the elements, uncorrected: 2.34 eV per formula unit
# Total moment: 0.0 μB per cell
data_TiBeTl2Sb
_chemical_formula_sum 'Ti1 Be1 Tl2 Sb1'
_symmetry_space_group_name_H-M 'P 4/m m m'
_symmetry_Int_Tables_number 123
_symmetry_space_group_name_Hall '-P 4 2'
_cell_length_a 4.8125
_cell_length_b 4.8125
_cell_length_c 4.9164
_cell_angle_alpha 90.00
_cell_angle_beta 90.00
_cell_angle_gamma 90.00
loop_
_atom_site_label
_atom_site_type_symbol
_atom_site_fract_x
_atom_site_fract_y
_atom_site_fract_z
Ti1 Ti 0.0000 0.0000 0.0000
Be1 Be 0.0000 0.0000 0.5000
Tl1 Tl 0.0000 0.5000 0.5000
Sb1 Sb 0.5000 0.5000 0.0000



[2]
# BeTlSb2 PBE relaxed
# Energy relative to the elements, uncorrected: 2.47 eV per formula unit
# Total moment: 0.0 μB per cell
# E above lowest polymorph: 428 meV per atom
data_BeTlSb2
_chemical_formula_sum 'Be1 Tl1 Sb2'
_symmetry_space_group_name_H-M 'P 4/m m m'
_symmetry_Int_Tables_number 123
_symmetry_space_group_name_Hall '-P 4 2'
_cell_length_a 4.8196
_cell_length_b 4.8196
_cell_length_c 4.2877
_cell_angle_alpha 90.00
_cell_angle_beta 90.00
_cell_angle_gamma 90.00
loop_
_atom_site_label
_atom_site_type_symbol
_atom_site_fract_x
_atom_site_fract_y
_atom_site_fract_z
Be1 Be 0.0000 0.0000 0.0000
Tl1 Tl 0.5000 0.5000 0.0000
Sb1 Sb 0.0000 0.5000 0.5000



[3]
# BeTl2Sb PBE relaxed
# Energy relative to the elements, uncorrected: 0.43 eV per formula unit
# Total moment: 0.0 μB per cell
# E above lowest polymorph: 0 meV per atom
data_BeTl2Sb
_chemical_formula_sum 'Be2 Tl4 Sb2'
_symmetry_space_group_name_H-M 'C 1 m 1'
_symmetry_Int_Tables_number 8
_symmetry_space_group_name_Hall 'C -2y'
_cell_length_a 7.1057
_cell_length_b 4.1048
_cell_length_c 7.8982
_cell_angle_alpha 90.00
_cell_angle_beta 90.16
_cell_angle_gamma 90.00
loop_
_atom_site_label
_atom_site_type_symbol
_atom_site_fract_x
_atom_site_fract_y
_atom_site_fract_z
Be1 Be 0.0000 0.0000 0.0000
Tl1 Tl 0.9999 0.0000 0.6267
Tl2 Tl 0.3341 0.0000 0.2732
Sb1 Sb 0.1665 0.5000 0.9479



[4]
# BeTl2Sb PBE relaxed
# Energy relative to the elements, uncorrected: 1.50 eV per formula unit
# Total moment: 0.0 μB per cell
# E above lowest polymorph: 267 meV per atom
data_BeTl2Sb
_chemical_formula_sum 'Be4 Tl8 Sb4'
_symmetry_space_group_name_H-M 'I -4 2 d'
_symmetry_Int_Tables_number 122
_symmetry_space_group_name_Hall 'I -4 2bw'
_cell_length_a 9.7150
_cell_length_b 9.7150
_cell_length_c 4.6987
_cell_angle_alpha 90.00
_cell_angle_beta 90.00
_cell_angle_gamma 90.00
loop_
_atom_site_label
_atom_site_type_symbol
_atom_site_fract_x
_atom_site_fract_y
_atom_site_fract_z
Be1 Be 0.0000 0.0000 0.0000
Tl1 Tl 0.1371 0.2500 0.1250
Sb1 Sb 0.0000 0.0000 0.5000



[5]
# BeTlSb PBE relaxed
# Energy relative to the elements, uncorrected: 0.65 eV per formula unit
# Total moment: 0.0 μB per cell
# E above lowest polymorph: 95 meV per atom
data_BeTlSb
_chemical_formula_sum 'Be8 Tl8 Sb8'
_symmetry_space_group_name_H-M 'C m c e'
_symmetry_Int_Tables_number 64
_symmetry_space_group_name_Hall '-C 2ac 2'
_cell_length_a 10.0268
_cell_length_b 8.2066
_cell_length_c 8.1885
_cell_angle_alpha 90.00
_cell_angle_beta 90.00
_cell_angle_gamma 90.00
loop_
_atom_site_label
_atom_site_type_symbol
_atom_site_fract_x
_atom_site_fract_y
_atom_site_fract_z
Be1 Be 0.0000 0.1361 0.1410
Tl1 Tl 0.1949 0.0000 0.5000
Sb1 Sb 0.0000 0.1603 0.8450



[6]
# BeTlSb2 PBE relaxed
# Energy relative to the elements, uncorrected: 2.46 eV per formula unit
# Total moment: 0.0 μB per cell
# E above lowest polymorph: 427 meV per atom
data_BeTlSb2
_chemical_formula_sum 'Be2 Tl2 Sb4'
_symmetry_space_group_name_H-M 'I -4 m 2'
_symmetry_Int_Tables_number 119
_symmetry_space_group_name_Hall 'I -4 -2'
_cell_length_a 4.6709
_cell_length_b 4.6709
_cell_length_c 9.1349
_cell_angle_alpha 90.00
_cell_angle_beta 90.00
_cell_angle_gamma 90.00
loop_
_atom_site_label
_atom_site_type_symbol
_atom_site_fract_x
_atom_site_fract_y
_atom_site_fract_z
Be1 Be 0.0000 0.0000 0.0000
Tl1 Tl 0.0000 0.5000 0.2500
Sb1 Sb 0.0000 0.0000 0.5000
Sb2 Sb 0.0000 0.5000 0.7500



[7]
# BeTlSb2 PBE relaxed
# Energy relative to the elements, uncorrected: 1.31 eV per formula unit
# Total moment: 0.0 μB per cell
# E above lowest polymorph: 138 meV per atom
data_BeTlSb2
_chemical_formula_sum 'Be1 Tl1 Sb2'
_symmetry_space_group_name_H-M 'P 4/m m m'
_symmetry_Int_Tables_number 123
_symmetry_space_group_name_Hall '-P 4 2'
_cell_length_a 3.3480
_cell_length_b 3.3480
_cell_length_c 8.8675
_cell_angle_alpha 90.00
_cell_angle_beta 90.00
_cell_angle_gamma 90.00
loop_
_atom_site_label
_atom_site_type_symbol
_atom_site_fract_x
_atom_site_fract_y
_atom_site_fract_z
Be1 Be 0.0000 0.0000 0.0000
Tl1 Tl 0.0000 0.0000 0.5000
Sb1 Sb 0.5000 0.5000 0.1734



[8]
# BeTlSb2 PBE relaxed
# Energy relative to the elements, uncorrected: 2.47 eV per formula unit
# Total moment: 0.0 μB per cell
# E above lowest polymorph: 428 meV per atom
data_BeTlSb2
_chemical_formula_sum 'Be4 Tl4 Sb8'
_symmetry_space_group_name_H-M 'F m -3 m'
_symmetry_Int_Tables_number 225
_symmetry_space_group_name_Hall '-F 4 2 3'
_cell_length_a 7.3155
_cell_length_b 7.3155
_cell_length_c 7.3155
_cell_angle_alpha 90.00
_cell_angle_beta 90.00
_cell_angle_gamma 90.00
loop_
_atom_site_label
_atom_site_type_symbol
_atom_site_fract_x
_atom_site_fract_y
_atom_site_fract_z
Be1 Be 0.0000 0.0000 0.0000
Tl1 Tl 0.0000 0.0000 0.5000
Sb1 Sb 0.2500 0.2500 0.2500



[9]
# Be2TlSb PBE relaxed
# Energy relative to the elements, uncorrected: 2.91 eV per formula unit
# Total moment: 0.0 μB per cell
# E above lowest polymorph: 452 meV per atom
data_Be2TlSb
_chemical_formula_sum 'Be4 Tl2 Sb2'
_symmetry_space_group_name_H-M 'I -4 m 2'
_symmetry_Int_Tables_number 119
_symmetry_space_group_name_Hall 'I -4 -2'
_cell_length_a 3.7336
_cell_length_b 3.7336
_cell_length_c 11.1778
_cell_angle_alpha 90.00
_cell_angle_beta 90.00
_cell_angle_gamma 90.00
loop_
_atom_site_label
_atom_site_type_symbol
_atom_site_fract_x
_atom_site_fract_y
_atom_site_fract_z
Be1 Be 0.0000 0.0000 0.0000
Be2 Be 0.0000 0.5000 0.2500
Tl1 Tl 0.0000 0.0000 0.5000
Sb1 Sb 0.0000 0.5000 0.7500



[10]
# Be2TlSb PBE relaxed
# Energy relative to the elements, uncorrected: 1.92 eV per formula unit
# Total moment: 0.0 μB per cell
# E above lowest polymorph: 205 meV per atom
data_Be2TlSb
_chemical_formula_sum 'Be2 Tl1 Sb1'
_symmetry_space_group_name_H-M 'P m m 2'
_symmetry_Int_Tables_number 25
_symmetry_space_group_name_Hall 'P 2 -2'
_cell_length_a 3.1256
_cell_length_b 3.1480
_cell_length_c 8.2708
_cell_angle_alpha 90.00
_cell_angle_beta 90.00
_cell_angle_gamma 90.00
loop_
_atom_site_label
_atom_site_type_symbol
_atom_site_fract_x
_atom_site_fract_y
_atom_site_fract_z
Be1 Be 0.0000 0.0000 0.0000
Be2 Be 0.5000 0.5000 0.0888
Tl1 Tl 0.0000 0.0000 0.3483
Sb1 Sb 0.5000 0.5000 0.7770



[11]
# Be2TlSb PBE relaxed
# Energy relative to the elements, uncorrected: 2.89 eV per formula unit
# Total moment: 0.0 μB per cell
# E above lowest polymorph: 448 meV per atom
data_Be2TlSb
_chemical_formula_sum 'Be4 Tl2 Sb2'
_symmetry_space_group_name_H-M 'I m m m'
_symmetry_Int_Tables_number 71
_symmetry_space_group_name_Hall '-I 2 2'
_cell_length_a 3.8683
_cell_length_b 5.4506
_cell_length_c 7.4066
_cell_angle_alpha 90.00
_cell_angle_beta 90.00
_cell_angle_gamma 90.00
loop_
_atom_site_label
_atom_site_type_symbol
_atom_site_fract_x
_atom_site_fract_y
_atom_site_fract_z
Be1 Be 0.0000 0.0000 0.2365
Tl1 Tl 0.0000 0.5000 0.0000
Sb1 Sb 0.0000 0.5000 0.5000



[12]
# BeTlSb PBE relaxed
# Energy relative to the elements, uncorrected: 1.03 eV per formula unit
# Total moment: 0.0 μB per cell
# E above lowest polymorph: 224 meV per atom
data_BeTlSb
_chemical_formula_sum 'Be4 Tl4 Sb4'
_symmetry_space_group_name_H-M 'F -4 3 m'
_symmetry_Int_Tables_number 216
_symmetry_space_group_name_Hall 'F -4 2 3'
_cell_length_a 6.5849
_cell_length_b 6.5849
_cell_length_c 6.5849
_cell_angle_alpha 90.00
_cell_angle_beta 90.00
_cell_angle_gamma 90.00
loop_
_atom_site_label
_atom_site_type_symbol
_atom_site_fract_x
_atom_site_fract_y
_atom_site_fract_z
Be1 Be 0.0000 0.0000 0.0000
Tl1 Tl 0.2500 0.2500 0.7500
Sb1 Sb 0.2500 0.2500 0.2500



Question: What is the energy relative to the elements, uncorrected in the eighth record?
Answer: 2.47 eV per formula unit



Question: Which formula does entry 12 have?
Answer: BeTlSb